No. 1
## GeTeAsOs2 (PBEsol)

Data for GeTeAsOs2 after structural relaxation.

Summary:
* calculated density: 9.2 g/cm3
* space group: No. 123
* energy relative to the elements, uncorrected: 2.2337 eV per atom

Geometry as POSCAR:
```
GeTeAsOs2
1.0
4.800 0.000 0.000
0.000 4.800 0.000
0.000 0.000 5.114
Ge Os Te As
1 2 1 1
Direct
0.000 0.000 0.500 Ge
0.500 0.000 0.000 Os
0.000 0.500 0.000 Os
0.000 0.000 0.000 Te
0.500 0.500 0.500 As
```

No. 2
## ZrPt2IBr (PBEsol)

Data for ZrPt2IBr after structural relaxation.

Summary:
* calculated density: 8.9 g/cm3
* space group: No. 123
* energy relative to the elements, uncorrected: 0.9128 eV per atom

Geometry as POSCAR:
```
ZrPt2IBr
1.0
4.887 0.000 0.000
0.000 4.887 0.000
0.000 0.000 5.405
I Pt Zr Br
1 2 1 1
Direct
0.000 0.000 0.000 I
0.000 0.500 0.000 Pt
0.500 0.000 0.000 Pt
0.000 0.000 0.500 Zr
0.500 0.500 0.500 Br
```

No. 3
## MnPIr3 (PBEsol)

Data for MnPIr3 after structural relaxation.

Summary:
* calculated density: 13.4 g/cm3
* ΔE_f: 586.5 meV per atom
* space group: No. 221
* ΔE to the lowest computed polymorph: 0 meV per atom

Geometry as POSCAR:
```
MnPIr3
1.0
4.345 0.000 0.000
0.000 4.345 0.000
0.000 0.000 4.345
P Ir Mn
1 3 1
Direct
0.000 0.000 0.000 P
0.500 0.000 0.000 Ir
0.000 0.500 0.000 Ir
0.000 0.000 0.500 Ir
0.500 0.500 0.500 Mn
```

No. 4
## Re2PtBr (PBEsol)

Data for Re2PtBr after structural relaxation.

Summary:
* calculated density: 15.7 g/cm3
* space group: No. 47
* energy relative to the elements, uncorrected: 0.6946 eV per atom

Geometry as POSCAR:
```
Re2PtBr
1.0
2.874 0.000 0.000
0.000 3.760 0.000
0.000 0.000 6.344
Re Pt Br
2 1 1
Direct
0.500 0.000 0.194 Re
0.500 0.000 0.806 Re
0.000 0.500 0.000 Pt
0.500 0.500 0.500 Br
```

No. 5
## ZrMnAlCr2 (PBEsol)

Data for ZrMnAlCr2 after structural relaxation.

Summary:
* calculated density: 4.7 g/cm3
* ΔE_f: 1699.5 meV per atom
* space group: No. 123

Geometry as POSCAR:
```
ZrMnAlCr2
1.0
-3.388 -2.033 2.403
3.046 -1.228 3.256
-0.782 3.910 2.206
Zr Cr Al Mn
1 2 1 1
Direct
0.000 0.000 0.000 Zr
0.000 0.500 0.000 Cr
0.500 0.000 0.000 Cr
0.500 0.500 0.500 Al
0.000 0.000 0.500 Mn
```

No. 6
## Al2PtCl (PBEsol)

Data for Al2PtCl after structural relaxation.

Summary:
* calculated density: 6.9 g/cm3
* space group: No. 99
* energy relative to the elements, uncorrected: -0.3556 eV per atom
* ΔE to the lowest computed polymorph: 0 meV per atom

Geometry as POSCAR:
```
Al2PtCl
1.0
-2.039 1.135 -1.784
0.638 -2.033 -2.022
-5.445 -4.839 3.145
Cl Pt Al
1 1 2
Direct
0.000 0.000 0.450 Cl
0.500 0.500 0.814 Pt
0.000 0.000 0.993 Al
0.500 0.500 0.243 Al
```

Which of these has the highest calculated density?
Re2PtBr

The lowest calculated density belongs to which entry?
ZrMnAlCr2

The lowest calculated density belongs to which entry?
ZrMnAlCr2